No. 1
Material: Ba6Tl2AgN
Method: DFT, PBE-GGA
State: relaxed

abc: 8.1625 8.6417 14.2244
angles: 90.00 123.97 90.00
Last column: nearest neighbours and their distance in Å.
Positions (direct):
Ba1 0.1284 0.0195 0.2261  1 N 2.78
Ba2 0.1284 0.4805 0.7261  1 N 2.78
Ba3 0.2151 0.7221 0.0462  1 N 2.83
Ba4 0.2151 0.7779 0.5462  1 N 2.83
Ba5 0.3320 0.1754 0.0507  1 N 2.82
Ba6 0.3320 0.3246 0.5507  1 N 2.82
Ba7 0.6680 0.6754 0.4493  1 N 2.82
Ba8 0.6680 0.8246 0.9493  1 N 2.82
Ba9 0.7849 0.2221 0.4538  1 N 2.83
Ba10 0.7849 0.2779 0.9538  1 N 2.83
Ba11 0.8716 0.5195 0.2739  1 N 2.78
Ba12 0.8716 0.9805 0.7739  1 N 2.78
Tl1 0.2767 0.0761 0.7476  6 Ba 3.59-3.91
Tl2 0.2767 0.4239 0.2476  6 Ba 3.59-3.91
Tl3 0.7233 0.5761 0.7524  6 Ba 3.59-3.91
Tl4 0.7233 0.9239 0.2524  6 Ba 3.59-3.91
Ag1 0.5000 0.0000 0.5000  6 Ba 3.35-3.37
Ag2 0.5000 0.5000 0.0000  6 Ba 3.35-3.37
N1 0.0000 0.0000 0.0000  6 Ba 2.78-2.83
N2 0.0000 0.5000 0.5000  6 Ba 2.78-2.83

Calculated values
Space-group type: P2_1/c
Energy relative to the elements, uncorrected, eV/atom: -0.30
Calculated total energy, eV per atom: -3.05



No. 2
Material: Ba2YAgN
Method: DFT, PBE-GGA
State: relaxed

abc: 6.2295 6.2295 5.4783
angles: 90.00 90.00 90.00
Last column: nearest neighbours and their distance in Å.
Positions (direct):
Ba1 0.0000 0.5000 0.0000  2 Ag 3.11
Ba2 0.5000 0.0000 0.0000  2 Ag 3.11
Y1 0.0000 0.0000 0.5000  2 Ag 2.74
Ag1 0.0000 0.0000 0.0000  2 Y 2.74
N1 0.5000 0.5000 0.5000  8 Ba 4.15, 4 Y 4.40

Calculated values
Space-group type: P4/mmm
Energy relative to the elements, uncorrected, eV/atom: 1.07
Calculated total energy, eV per atom: -3.22